Computed, not measured: an optimized crystal structure of TlFe2F6 at the GGA+U level of DFT.

Calculated values
Electronic total energy = -5.070 eV per atom

abc: 5.505 5.505 5.982
angles: 90.00 90.00 120.00
Atoms (fractional coordinates):
Tl  0.000  0.000  0.000
Fe  0.333  0.667  0.500
Fe  0.667  0.333  0.500
F  0.000  0.380  0.681
F  0.000  0.620  0.319
F  0.380  0.000  0.681
F  0.380  0.380  0.319
F  0.620  0.000  0.319
F  0.620  0.620  0.681